# Lu4Cu2C

A geometry-optimized Lu4Cu2C structure (PBE, the Alexandria database).

Lattice parameters (Å, degrees): 4.5521 4.5521 8.2470 73.98 73.98 90.00
Positions (direct):
Lu 0.3105 0.3105 0.3790
Cu 0.1315 0.1315 0.7370
Lu 0.0000 0.5000 0.0000
C 0.0000 0.0000 0.0000
Lu 0.5000 0.0000 0.0000
Lu 0.6895 0.6895 0.6210
Cu 0.8685 0.8685 0.2630

Its formation energy is 0.0642 eV/atom. The total moment is 0.00 μB per formula unit.

# MgCu2C

A geometry-optimized MgCu2C structure (PBE, the Alexandria database).

Lattice parameters (Å, degrees): 4.5078 4.5078 6.8829 70.89 70.89 90.00
Positions (direct):
C 0.5000 0.5000 0.0000
C 0.2500 0.7500 0.5000
Cu 0.4234 0.1250 0.2500
Mg 0.0000 0.0000 0.0000
Mg 0.7500 0.2500 0.5000
Cu 0.8750 0.6734 0.7500
Cu 0.3750 0.5766 0.7500
Cu 0.3266 0.6250 0.2500

Its formation energy is 0.6548 eV/atom. The calculation puts the energy above the most stable polymorph in this dataset at 0.000 eV per atom. The total moment is 0.00 μB per formula unit.

# MgCuC3

A geometry-optimized MgCuC3 structure (PBE, the Alexandria database).

Lattice parameters (Å, degrees): 4.0550 4.0550 4.0550 90.00 90.00 90.00
Positions (direct):
C 0.0000 0.5000 0.0000
Mg 0.0000 0.0000 0.0000
C 0.0000 0.0000 0.5000
C 0.5000 0.0000 0.0000
Cu 0.5000 0.5000 0.5000

Its formation energy is 3.1037 eV/atom. The calculation puts the energy above the most stable polymorph in this dataset at 0.768 eV per atom. The total moment is 0.00 μB per formula unit.

# Mg2CuC

A geometry-optimized Mg2CuC structure (PBE, the Alexandria database).

Lattice parameters (Å, degrees): 8.4289 8.4289 6.2513 47.61 47.61 90.00
Positions (direct):
C 0.5000 0.5000 0.0000
Cu 0.7500 0.2500 0.5000
Cu 0.0000 0.0000 0.0000
Mg 0.4557 0.1250 0.2500
C 0.2500 0.7500 0.5000
Mg 0.8750 0.7057 0.7500
Mg 0.3750 0.5443 0.7500
Mg 0.2943 0.6250 0.2500

Its formation energy is 0.3447 eV/atom. The total moment is 0.00 μB per formula unit.